This record from Alexandria via LeMat-Bulk describes crystalline BeTl2Ni at its relaxed geometry. The functional is GGA-PBEsol.

abc: 3.104 4.125 6.183
angles: 109.48 104.54 90.00
Sites, in units of the cell vectors:
Ni  0.193  0.693  0.387
Tl  0.985  0.985  0.969
Tl  0.760  0.260  0.519
Be  0.562  0.562  0.124

Raw total energy   -3.5193 eV per atom
Offset from the most stable computed form   0 meV/atom
Size of the total moment   0.000 μB per atom
Calculated formation energy   0.34 eV/atom